Here is Pr4HgTe3 after structural relaxation from the Open Quantum Materials Database. Energies are from GGA-PBE.

## Properties
- energy (eV per atom) = -4.82
- SG = Cmmm

a b c (Å): 7.878 7.878 4.433
angles (deg): 90.00 90.00 108.47
Element x y z (fractional)
1 Te 0.000 0.500 0.500
2 Te 0.500 0.500 0.000
3 Te 0.500 0.000 0.500
4 Hg 0.000 0.000 0.000
5 Pr 0.753 0.247 0.000
6 Pr 0.247 0.753 0.000
7 Pr 0.756 0.756 0.500
8 Pr 0.244 0.244 0.500

***

Here is Pm2HgAu2 after structural relaxation from the Open Quantum Materials Database. Energies are from GGA-PBE.

## Properties
- calculated formation energy (eV per atom) = -0.735
- energy (eV per atom) = -4.00
- SG = P4/mbm

a b c (Å): 8.080 8.080 3.829
angles (deg): 90.00 90.00 90.00
Element x y z (fractional)
1 Au 0.127 0.373 0.000
2 Au 0.873 0.627 0.000
3 Au 0.373 0.873 0.000
4 Au 0.627 0.127 0.000
5 Pm 0.672 0.828 0.500
6 Pm 0.172 0.672 0.500
7 Pm 0.328 0.172 0.500
8 Pm 0.828 0.328 0.500
9 Hg 0.500 0.500 0.000
10 Hg 0.000 0.000 0.000

***

Here is LaSm2B2N4 after structural relaxation from the Open Quantum Materials Database. Energies are from GGA-PBE.

## Properties
- energy (eV per atom) = -8.14
- SG = Immm

a b c (Å): 6.437 6.437 6.437
angles (deg): 148.15 121.87 67.82
Element x y z (fractional)
1 B 0.641 0.500 0.141
2 B 0.359 0.500 0.859
3 N 0.632 0.378 0.254
4 N 0.125 0.378 0.746
5 N 0.875 0.622 0.254
6 N 0.368 0.622 0.746
7 La 0.000 0.000 0.000
8 Sm 0.299 0.799 0.500
9 Sm 0.701 0.201 0.500

***

Here is Hf2Zr4P3N3 after structural relaxation from the Open Quantum Materials Database. Energies are from GGA-PBE.

## Properties
- energy (eV per atom) = -9.41
- SG = C2/c

a b c (Å): 5.887 5.887 12.483
angles (deg): 103.63 103.63 60.00
Element x y z (fractional)
1 N 0.179 0.660 0.000
2 N 0.000 0.500 0.500
3 N 0.660 0.179 0.500
4 N 0.340 0.821 0.500
5 N 0.821 0.340 0.000
6 N 0.500 0.000 0.000
7 Zr 0.131 0.299 0.897
8 Zr 0.036 0.199 0.603
9 Zr 0.964 0.801 0.397
10 Zr 0.199 0.036 0.103
11 Zr 0.701 0.869 0.603
12 Zr 0.299 0.131 0.397
13 Zr 0.801 0.964 0.897
14 Zr 0.869 0.701 0.103
15 P 0.254 0.417 0.251
16 P 0.583 0.746 0.249
17 P 0.913 0.087 0.250
18 P 0.087 0.913 0.750
19 P 0.417 0.254 0.751
20 P 0.746 0.583 0.749
21 Hf 0.466 0.634 0.899
22 Hf 0.634 0.466 0.399
23 Hf 0.534 0.366 0.101
24 Hf 0.366 0.534 0.601

***

Here is Sm4SiI5 after structural relaxation from the Open Quantum Materials Database. Energies are from GGA-PBE.

## Properties
- energy (eV per atom) = -4.43
- SG = C2/m

a b c (Å): 9.948 9.948 8.978
angles (deg): 102.34 102.34 24.78
Element x y z (fractional)
1 Sm 0.354 0.354 0.927
2 Sm 0.000 0.000 0.212
3 Sm 0.000 0.000 0.788
4 Sm 0.646 0.646 0.073
5 I 0.166 0.166 0.336
6 I 0.829 0.829 0.174
7 I 0.500 0.500 0.500
8 I 0.834 0.834 0.664
9 I 0.171 0.171 0.826
10 Si 0.500 0.500 0.000

***

Here is HoCd2Ga2 after structural relaxation from the Open Quantum Materials Database. Energies are from GGA-PBE.

## Properties
- energy (eV per atom) = -2.64
- SG = P4/mbm

a b c (Å): 7.736 7.736 3.712
angles (deg): 90.00 90.00 90.00
Element x y z (fractional)
1 Ga 0.377 0.877 0.000
2 Ga 0.123 0.377 0.000
3 Ga 0.623 0.123 0.000
4 Ga 0.877 0.623 0.000
5 Ho 0.500 0.500 0.000
6 Ho 0.000 0.000 0.000
7 Cd 0.824 0.324 0.500
8 Cd 0.324 0.176 0.500
9 Cd 0.176 0.676 0.500
10 Cd 0.676 0.824 0.500

***

Q: What is the formula in the fifth record?
A: Sm4SiI5